1.
# BaPSeO2, optimized geometry, DFT GGA-PBE
# energy above the lowest structure with this stoichiometry: 0 meV per atom
# space-group type: P4/mmm
# electronic total energy: -4.75 eV/atom
# uncorrected formation energy: -0.607 eV/atom
data_BaPSeO2
_chemical_formula_sum 'Ba1 P1 Se1 O2'
_cell_length_a 4.3555
_cell_length_b 4.3555
_cell_length_c 4.6856
_cell_angle_alpha 90.00
_cell_angle_beta 90.00
_cell_angle_gamma 90.00
_symmetry_space_group_name_H-M 'P 1'
_symmetry_Int_Tables_number 1
loop_
_symmetry_equiv_pos_as_xyz
'x,y,z'
loop_
_atom_site_label
_atom_site_fract_x
_atom_site_fract_y
_atom_site_fract_z
_atom_site_occupancy
Ba1 0.0000 0.0000 0.0000 1
P1 0.5000 0.5000 0.0000 1
Se1 0.5000 0.5000 0.5000 1
O1 0.0000 0.5000 0.5000 1
O2 0.5000 0.0000 0.5000 1

***

2.
# BaP2SeO8, optimized geometry, DFT GGA-PBE
# space-group type: R32
# electronic total energy: -6.58 eV/atom
# uncorrected formation energy: -1.918 eV/atom
data_BaP2SeO8
_chemical_formula_sum 'Ba1 P2 Se1 O8'
_cell_length_a 8.5761
_cell_length_b 8.5761
_cell_length_c 8.5761
_cell_angle_alpha 33.08
_cell_angle_beta 33.08
_cell_angle_gamma 33.08
_symmetry_space_group_name_H-M 'P 1'
_symmetry_Int_Tables_number 1
loop_
_symmetry_equiv_pos_as_xyz
'x,y,z'
loop_
_atom_site_label
_atom_site_fract_x
_atom_site_fract_y
_atom_site_fract_z
_atom_site_occupancy
Ba1 0.0000 0.0000 0.0000 1
P1 0.2415 0.2415 0.2415 1
P2 0.7585 0.7585 0.7585 1
Se1 0.5000 0.5000 0.5000 1
O1 0.1001 0.4956 0.7394 1
O2 0.2606 0.5044 0.8999 1
O3 0.3046 0.3046 0.3046 1
O4 0.4956 0.7394 0.1001 1
O5 0.5044 0.8999 0.2606 1
O6 0.6954 0.6954 0.6954 1
O7 0.7394 0.1001 0.4956 1
O8 0.8999 0.2606 0.5044 1

***

3.
# Ba3P2Se4O4, optimized geometry, DFT GGA-PBE
# space-group type: P-1
# electronic total energy: -5.86 eV/atom
# uncorrected formation energy: -1.988 eV/atom
data_Ba3P2Se4O4
_chemical_formula_sum 'Ba6 P4 Se8 O8'
_cell_length_a 6.9102
_cell_length_b 7.2729
_cell_length_c 12.9627
_cell_angle_alpha 80.99
_cell_angle_beta 78.64
_cell_angle_gamma 80.30
_symmetry_space_group_name_H-M 'P 1'
_symmetry_Int_Tables_number 1
loop_
_symmetry_equiv_pos_as_xyz
'x,y,z'
loop_
_atom_site_label
_atom_site_fract_x
_atom_site_fract_y
_atom_site_fract_z
_atom_site_occupancy
Ba1 0.0469 0.1874 0.3515 1
Ba2 0.2998 0.7406 0.1120 1
Ba3 0.3494 0.3149 0.6242 1
Ba4 0.6506 0.6851 0.3758 1
Ba5 0.7002 0.2594 0.8880 1
Ba6 0.9531 0.8126 0.6485 1
P1 0.1432 0.6968 0.3855 1
P2 0.3931 0.7976 0.8082 1
P3 0.6069 0.2024 0.1918 1
P4 0.8568 0.3032 0.6145 1
Se1 0.2112 0.0503 0.8731 1
Se2 0.2389 0.5459 0.8549 1
Se3 0.3390 0.2560 0.1132 1
Se4 0.4584 0.8437 0.6316 1
Se5 0.5416 0.1563 0.3684 1
Se6 0.6610 0.7440 0.8868 1
Se7 0.7611 0.4541 0.1451 1
Se8 0.7888 0.9497 0.1269 1
O1 0.0432 0.1734 0.5621 1
O2 0.0717 0.5628 0.3230 1
O3 0.2635 0.5946 0.4721 1
O4 0.2796 0.8247 0.3039 1
O5 0.7204 0.1753 0.6961 1
O6 0.7365 0.4054 0.5279 1
O7 0.9283 0.4372 0.6770 1
O8 0.9568 0.8266 0.4379 1

***

4.
# BaP2SeO, optimized geometry, DFT GGA-PBE
# energy above the lowest structure with this stoichiometry: 0 meV per atom
# space-group type: P4/mmm
# electronic total energy: -4.33 eV/atom
# uncorrected formation energy: -0.095 eV/atom
data_BaP2SeO
_chemical_formula_sum 'Ba1 P2 Se1 O1'
_cell_length_a 4.8956
_cell_length_b 4.8956
_cell_length_c 4.4473
_cell_angle_alpha 90.00
_cell_angle_beta 90.00
_cell_angle_gamma 90.00
_symmetry_space_group_name_H-M 'P 1'
_symmetry_Int_Tables_number 1
loop_
_symmetry_equiv_pos_as_xyz
'x,y,z'
loop_
_atom_site_label
_atom_site_fract_x
_atom_site_fract_y
_atom_site_fract_z
_atom_site_occupancy
Ba1 0.0000 0.0000 0.0000 1
P1 0.0000 0.5000 0.5000 1
P2 0.5000 0.0000 0.5000 1
Se1 0.5000 0.5000 0.5000 1
O1 0.5000 0.5000 0.0000 1

***

5.
# Ba2PSeO, optimized geometry, DFT GGA-PBE
# space-group type: P4/mmm
# electronic total energy: -4.08 eV/atom
# uncorrected formation energy: -0.537 eV/atom
data_Ba2PSeO
_chemical_formula_sum 'Ba2 P1 Se1 O1'
_cell_length_a 6.0771
_cell_length_b 6.0771
_cell_length_c 4.5794
_cell_angle_alpha 90.00
_cell_angle_beta 90.00
_cell_angle_gamma 90.00
_symmetry_space_group_name_H-M 'P 1'
_symmetry_Int_Tables_number 1
loop_
_symmetry_equiv_pos_as_xyz
'x,y,z'
loop_
_atom_site_label
_atom_site_fract_x
_atom_site_fract_y
_atom_site_fract_z
_atom_site_occupancy
Ba1 0.0000 0.5000 0.0000 1
Ba2 0.5000 0.0000 0.0000 1
P1 0.0000 0.0000 0.5000 1
Se1 0.0000 0.0000 0.0000 1
O1 0.5000 0.5000 0.5000 1

***

6.
# Ba5P2SeO, optimized geometry, DFT GGA-PBE
# space-group type: Cmc2_1
# electronic total energy: -4.72 eV/atom
# uncorrected formation energy: -1.512 eV/atom
data_Ba5P2SeO
_chemical_formula_sum 'Ba10 P4 Se2 O2'
_cell_length_a 10.2448
_cell_length_b 10.2448
_cell_length_c 13.0989
_cell_angle_alpha 90.00
_cell_angle_beta 90.00
_cell_angle_gamma 153.81
_symmetry_space_group_name_H-M 'P 1'
_symmetry_Int_Tables_number 1
loop_
_symmetry_equiv_pos_as_xyz
'x,y,z'
loop_
_atom_site_label
_atom_site_fract_x
_atom_site_fract_y
_atom_site_fract_z
_atom_site_occupancy
Ba1 0.0089 0.9911 0.5000 1
Ba2 0.1369 0.8631 0.7265 1
Ba3 0.1605 0.8395 0.0769 1
Ba4 0.2109 0.7891 0.4143 1
Ba5 0.4621 0.5379 0.7581 1
Ba6 0.5379 0.4621 0.2581 1
Ba7 0.7891 0.2109 0.9143 1
Ba8 0.8395 0.1605 0.5769 1
Ba9 0.8631 0.1369 0.2265 1
Ba10 0.9911 0.0089 0.0000 1
P1 0.3772 0.6228 0.0301 1
P2 0.3917 0.6083 0.4079 1
P3 0.6083 0.3917 0.9079 1
P4 0.6228 0.3772 0.5301 1
Se1 0.2953 0.7047 0.7346 1
Se2 0.7047 0.2953 0.2346 1
O1 0.0433 0.9567 0.1741 1
O2 0.9567 0.0433 0.6741 1

***

7.
# BaPSeO2, optimized geometry, DFT GGA-PBE
# energy above the lowest structure with this stoichiometry: 864 meV per atom
# space-group type: P4/mmm
# electronic total energy: -3.89 eV/atom
# uncorrected formation energy: 0.257 eV/atom
data_BaPSeO2
_chemical_formula_sum 'Ba1 P1 Se1 O2'
_cell_length_a 4.3464
_cell_length_b 4.3464
_cell_length_c 8.3786
_cell_angle_alpha 90.00
_cell_angle_beta 90.00
_cell_angle_gamma 90.00
_symmetry_space_group_name_H-M 'P 1'
_symmetry_Int_Tables_number 1
loop_
_symmetry_equiv_pos_as_xyz
'x,y,z'
loop_
_atom_site_label
_atom_site_fract_x
_atom_site_fract_y
_atom_site_fract_z
_atom_site_occupancy
Ba1 0.0000 0.0000 0.0000 1
P1 0.0000 0.0000 0.5000 1
Se1 0.5000 0.5000 0.5000 1
O1 0.0000 0.5000 0.0000 1
O2 0.5000 0.0000 0.0000 1

***

8.
# BaP2SeO, optimized geometry, DFT GGA-PBE
# energy above the lowest structure with this stoichiometry: 1057 meV per atom
# space-group type: P4/mmm
# electronic total energy: -3.28 eV/atom
# uncorrected formation energy: 0.961 eV/atom
data_BaP2SeO
_chemical_formula_sum 'Ba1 P2 Se1 O1'
_cell_length_a 6.1824
_cell_length_b 6.1824
_cell_length_c 4.4176
_cell_angle_alpha 90.00
_cell_angle_beta 90.00
_cell_angle_gamma 90.00
_symmetry_space_group_name_H-M 'P 1'
_symmetry_Int_Tables_number 1
loop_
_symmetry_equiv_pos_as_xyz
'x,y,z'
loop_
_atom_site_label
_atom_site_fract_x
_atom_site_fract_y
_atom_site_fract_z
_atom_site_occupancy
Ba1 0.0000 0.0000 0.0000 1
P1 0.0000 0.5000 0.0000 1
P2 0.5000 0.0000 0.0000 1
Se1 0.5000 0.5000 0.5000 1
O1 0.0000 0.0000 0.5000 1

***

9.
# BaSiP2O8, optimized geometry, DFT GGA-PBE
# space-group type: R-3m
# electronic total energy: -7.31 eV/atom
# uncorrected formation energy: -2.494 eV/atom
data_BaSiP2O8
_chemical_formula_sum 'Ba1 Si1 P2 O8'
_cell_length_a 8.1739
_cell_length_b 8.1739
_cell_length_c 8.1739
_cell_angle_alpha 35.33
_cell_angle_beta 35.33
_cell_angle_gamma 35.33
_symmetry_space_group_name_H-M 'P 1'
_symmetry_Int_Tables_number 1
loop_
_symmetry_equiv_pos_as_xyz
'x,y,z'
loop_
_atom_site_label
_atom_site_fract_x
_atom_site_fract_y
_atom_site_fract_z
_atom_site_occupancy
Ba1 0.0000 0.0000 0.0000 1
Si1 0.5000 0.5000 0.5000 1
P1 0.2338 0.2338 0.2338 1
P2 0.7662 0.7662 0.7662 1
O1 0.1261 0.6173 0.6173 1
O2 0.3007 0.3007 0.3007 1
O3 0.3827 0.3827 0.8739 1
O4 0.3827 0.8739 0.3827 1
O5 0.6173 0.1261 0.6173 1
O6 0.6173 0.6173 0.1261 1
O7 0.6993 0.6993 0.6993 1
O8 0.8739 0.3827 0.3827 1

***

10.
# BaSiP2O, optimized geometry, DFT GGA-PBE
# energy above the lowest structure with this stoichiometry: 0 meV per atom
# space-group type: P4/mmm
# electronic total energy: -5.17 eV/atom
# uncorrected formation energy: -0.546 eV/atom
data_BaSiP2O
_chemical_formula_sum 'Ba1 Si1 P2 O1'
_cell_length_a 5.3324
_cell_length_b 5.3324
_cell_length_c 3.3962
_cell_angle_alpha 90.00
_cell_angle_beta 90.00
_cell_angle_gamma 90.00
_symmetry_space_group_name_H-M 'P 1'
_symmetry_Int_Tables_number 1
loop_
_symmetry_equiv_pos_as_xyz
'x,y,z'
loop_
_atom_site_label
_atom_site_fract_x
_atom_site_fract_y
_atom_site_fract_z
_atom_site_occupancy
Ba1 0.0000 0.0000 0.0000 1
Si1 0.5000 0.5000 0.5000 1
P1 0.0000 0.5000 0.5000 1
P2 0.5000 0.0000 0.5000 1
O1 0.5000 0.5000 0.0000 1

***

11.
# BaSiP2O, optimized geometry, DFT GGA-PBE
# energy above the lowest structure with this stoichiometry: 1671 meV per atom
# space-group type: P4/mmm
# electronic total energy: -3.50 eV/atom
# uncorrected formation energy: 1.125 eV/atom
data_BaSiP2O
_chemical_formula_sum 'Ba1 Si1 P2 O1'
_cell_length_a 5.8554
_cell_length_b 5.8554
_cell_length_c 4.3525
_cell_angle_alpha 90.00
_cell_angle_beta 90.00
_cell_angle_gamma 90.00
_symmetry_space_group_name_H-M 'P 1'
_symmetry_Int_Tables_number 1
loop_
_symmetry_equiv_pos_as_xyz
'x,y,z'
loop_
_atom_site_label
_atom_site_fract_x
_atom_site_fract_y
_atom_site_fract_z
_atom_site_occupancy
Ba1 0.0000 0.0000 0.0000 1
Si1 0.5000 0.5000 0.5000 1
P1 0.0000 0.5000 0.0000 1
P2 0.5000 0.0000 0.0000 1
O1 0.0000 0.0000 0.5000 1

***

12.
# BaSmP2O8, optimized geometry, DFT GGA-PBE
# space-group type: P-3m1
# electronic total energy: -7.43 eV/atom
# uncorrected formation energy: -2.665 eV/atom
data_BaSmP2O8
_chemical_formula_sum 'Ba1 Sm1 P2 O8'
_cell_length_a 5.4866
_cell_length_b 5.4866
_cell_length_c 7.8699
_cell_angle_alpha 90.00
_cell_angle_beta 90.00
_cell_angle_gamma 120.00
_symmetry_space_group_name_H-M 'P 1'
_symmetry_Int_Tables_number 1
loop_
_symmetry_equiv_pos_as_xyz
'x,y,z'
loop_
_atom_site_label
_atom_site_fract_x
_atom_site_fract_y
_atom_site_fract_z
_atom_site_occupancy
Ba1 0.0000 0.0000 0.0000 1
Sm1 0.0000 0.0000 0.5000 1
P1 0.3333 0.6667 0.7627 1
P2 0.6667 0.3333 0.2373 1
O1 0.1797 0.3593 0.6975 1
O2 0.1797 0.8203 0.6975 1
O3 0.3333 0.6667 0.9594 1
O4 0.3593 0.1797 0.3025 1
O5 0.6407 0.8203 0.6975 1
O6 0.6667 0.3333 0.0406 1
O7 0.8203 0.1797 0.3025 1
O8 0.8203 0.6407 0.3025 1

***

Look up the electronic total energy of the fourth one.
-4.33 eV/atom